DFT (GGA-PBEsol) results for an optimized crystal structure of LiAlCl2.

Cell: 3.409 5.615 6.019 Å, 110.18 106.44 90.00°
Atoms (fractional coordinates):
Cl  0.043  0.825  0.086
Cl  0.799  0.227  0.598
Al  0.251  0.868  0.503
Li  0.407  0.580  0.813

Summary:
Magnetization (μB/cell): 0.000
Formation energy without anion corrections (meV/atom): -1030
Offset from the most stable computed form (meV/atom): 30



DFT (GGA-PBEsol) results for an optimized crystal structure of Li2AlCl.

Cell: 3.250 3.250 8.488 Å, 78.96 78.96 60.00°
Atoms (fractional coordinates):
Li  0.755  0.755  0.736
Li  0.982  0.982  0.053
Cl  0.262  0.262  0.215
Al  0.502  0.502  0.495

Summary:
Magnetization (μB/cell): 0.000
Formation energy without anion corrections (meV/atom): -481
Offset from the most stable computed form (meV/atom): 0
D(E_F) (states/eV/cell): 0.952



DFT (GGA-PBEsol) results for an optimized crystal structure of Na2Li2Al3Si3ClO12.

Cell: 8.642 8.642 8.650 Å, 90.00 90.00 90.00°
Last column: magnetic moment on the atom in μB.
Atoms (fractional coordinates):
Al  0.500  0.500  0.000  0.00
Al  0.998  0.250  0.756  0.00
Al  0.500  0.500  0.500  0.00
Al  0.250  0.002  0.244  0.00
Al  0.750  0.998  0.244  0.00
Al  0.002  0.750  0.756  0.00
O  0.645  0.843  0.161  0.01
O  0.355  0.413  0.887  0.00
O  0.865  0.625  0.678  0.00
O  0.413  0.645  0.113  0.00
O  0.353  0.576  0.616  0.00
O  0.355  0.157  0.161  0.01
O  0.843  0.355  0.839  0.01
O  0.645  0.587  0.887  0.00
O  0.424  0.353  0.384  0.00
O  0.135  0.375  0.678  0.00
O  0.138  0.076  0.395  0.00
O  0.157  0.645  0.839  0.01
O  0.647  0.424  0.616  0.00
O  0.375  0.865  0.322  0.00
O  0.133  0.913  0.103  0.00
O  0.587  0.355  0.113  0.00
O  0.913  0.867  0.897  0.00
O  0.076  0.862  0.605  0.00
O  0.867  0.087  0.103  0.00
O  0.087  0.133  0.897  0.00
O  0.625  0.135  0.322  0.00
O  0.862  0.924  0.395  0.00
O  0.576  0.647  0.384  0.00
O  0.924  0.138  0.605  0.00
Li  0.188  0.687  0.063  0.00
Li  0.812  0.313  0.063  0.00
Li  0.687  0.812  0.937  0.00
Li  0.313  0.188  0.937  0.00
Si  0.498  0.250  0.244  0.00
Si  0.000  0.000  0.000  0.00
Si  0.250  0.502  0.756  0.00
Si  0.750  0.498  0.756  0.00
Si  0.502  0.750  0.244  0.00
Si  0.000  0.000  0.500  0.00
Na  0.158  0.341  0.410  0.00
Na  0.842  0.659  0.410  0.00
Na  0.341  0.842  0.590  0.00
Na  0.659  0.158  0.590  0.00
Cl  0.000  0.500  0.194  0.06
Cl  0.500  0.000  0.806  0.06

Summary:
Magnetization (μB/cell): 0.242
Formation energy without anion corrections (meV/atom): -2707
D(E_F) (states/eV/cell): 0.000



For reference, E by record: -3.5486 -2.9891 -7.1086 eV per atom.